# 1
The following is a DFT calculation (PBE-GGA) of a relaxed SnB2PO crystal.

```
data_SnB2PO
_chemical_formula_sum 'Sn1 B2 P1 O1'
_space_group_name_H-M_alt 'P 1'
_space_group_IT_number 1
_cell_length_a 4.068
_cell_length_b 3.935
_cell_length_c 4.068
_cell_angle_alpha 90.00
_cell_angle_beta 90.00
_cell_angle_gamma 90.00
loop_
_space_group_symop_operation_xyz
'x,y,z'
loop_
_atom_site_label
_atom_site_type_symbol
_atom_site_fract_x
_atom_site_fract_y
_atom_site_fract_z
P1 P 0.000 0.500 0.000
B1 B 0.000 0.000 0.500
B2 B 0.500 0.000 0.000
Sn1 Sn 0.500 0.500 0.500
O1 O 0.000 0.000 0.000
```

Calculated values
- symmetry = No. 123
- uncorrected formation energy (eV/atom) = 1.26
- total magnetization (μB per formula unit) = 0.000



# 2
The following is a DFT calculation (PBE-GGA) of a relaxed SnBP2O8 crystal.

```
data_SnBP2O8
_chemical_formula_sum 'Sn1 B1 P2 O8'
_space_group_name_H-M_alt 'P 1'
_space_group_IT_number 1
_cell_length_a 4.806
_cell_length_b 4.806
_cell_length_c 7.851
_cell_angle_alpha 72.18
_cell_angle_beta 72.18
_cell_angle_gamma 60.00
loop_
_space_group_symop_operation_xyz
'x,y,z'
loop_
_atom_site_label
_atom_site_type_symbol
_atom_site_fract_x
_atom_site_fract_y
_atom_site_fract_z
Sn1 Sn 0.000 0.000 0.000
B1 B 0.500 0.500 0.500
P1 P 0.767 0.767 0.700
P2 P 0.233 0.233 0.300
O1 O 0.696 0.696 0.912
O2 O 0.304 0.304 0.088
O3 O 0.387 0.387 0.363
O4 O 0.613 0.613 0.637
O5 O 0.137 0.613 0.637
O6 O 0.387 0.863 0.363
O7 O 0.863 0.387 0.363
O8 O 0.613 0.137 0.637
```

Calculated values
- symmetry = No. 166
- uncorrected formation energy (eV/atom) = -1.49
- total magnetization (μB per formula unit) = 0.000



# 3
The following is a DFT calculation (PBE-GGA) of a relaxed Sr6BP5O20 crystal.

```
data_Sr6BP5O20
_chemical_formula_sum 'Sr12 B2 P10 O40'
_space_group_name_H-M_alt 'P 1'
_space_group_IT_number 1
_cell_length_a 9.891
_cell_length_b 9.891
_cell_length_c 11.892
_cell_angle_alpha 114.58
_cell_angle_beta 114.58
_cell_angle_gamma 90.00
loop_
_space_group_symop_operation_xyz
'x,y,z'
loop_
_atom_site_label
_atom_site_type_symbol
_atom_site_fract_x
_atom_site_fract_y
_atom_site_fract_z
Sr1 Sr 0.277 0.777 0.000
Sr2 Sr 0.777 0.723 0.000
Sr3 Sr 0.723 0.223 0.000
Sr4 Sr 0.223 0.277 0.000
Sr5 Sr 0.669 0.465 0.329
Sr6 Sr 0.660 0.864 0.329
Sr7 Sr 0.160 0.965 0.329
Sr8 Sr 0.535 0.340 0.671
Sr9 Sr 0.136 0.331 0.671
Sr10 Sr 0.035 0.831 0.671
Sr11 Sr 0.636 0.840 0.671
Sr12 Sr 0.169 0.364 0.329
B1 B 0.250 0.750 0.500
B2 B 0.750 0.250 0.500
P1 P 0.871 0.554 0.698
P2 P 0.827 0.144 0.698
P3 P 0.327 0.054 0.698
P4 P 0.446 0.173 0.302
P5 P 0.856 0.129 0.302
P6 P 0.946 0.629 0.302
P7 P 0.356 0.673 0.302
P8 P 0.371 0.644 0.698
P9 P 0.500 0.500 0.000
P10 P 0.000 0.000 0.000
O1 O 0.029 0.202 0.386
O2 O 0.470 0.014 0.229
O3 O 0.759 0.215 0.229
O4 O 0.970 0.715 0.229
O5 O 0.259 0.514 0.229
O6 O 0.285 0.741 0.771
O7 O 0.042 0.619 0.788
O8 O 0.747 0.170 0.788
O9 O 0.247 0.119 0.788
O10 O 0.381 0.253 0.212
O11 O 0.830 0.958 0.212
O12 O 0.881 0.458 0.212
O13 O 0.330 0.753 0.212
O14 O 0.529 0.684 0.386
O15 O 0.798 0.642 0.614
O16 O 0.816 0.971 0.614
O17 O 0.316 0.142 0.614
O18 O 0.358 0.184 0.386
O19 O 0.486 0.030 0.771
O20 O 0.858 0.702 0.386
O21 O 0.785 0.530 0.771
O22 O 0.986 0.241 0.771
O23 O 0.368 0.692 0.582
O24 O 0.308 0.787 0.418
O25 O 0.111 0.632 0.418
O26 O 0.808 0.132 0.418
O27 O 0.611 0.287 0.418
O28 O 0.213 0.889 0.582
O29 O 0.713 0.192 0.582
O30 O 0.868 0.389 0.582
O31 O 0.017 0.174 0.088
O32 O 0.826 0.929 0.912
O33 O 0.086 0.983 0.912
O34 O 0.326 0.483 0.912
O35 O 0.586 0.429 0.912
O36 O 0.071 0.914 0.088
O37 O 0.571 0.674 0.088
O38 O 0.517 0.414 0.088
O39 O 0.298 0.471 0.614
O40 O 0.542 0.670 0.788
```

Calculated values
- symmetry = No. 120
- uncorrected formation energy (eV/atom) = -2.81
- total magnetization (μB per formula unit) = 0.002



# 4
The following is a DFT calculation (PBE-GGA) of a relaxed TaBPO2 crystal.

```
data_TaBPO2
_chemical_formula_sum 'Ta1 B1 P1 O2'
_space_group_name_H-M_alt 'P 1'
_space_group_IT_number 1
_cell_length_a 3.816
_cell_length_b 3.816
_cell_length_c 5.335
_cell_angle_alpha 90.00
_cell_angle_beta 90.00
_cell_angle_gamma 90.00
loop_
_space_group_symop_operation_xyz
'x,y,z'
loop_
_atom_site_label
_atom_site_type_symbol
_atom_site_fract_x
_atom_site_fract_y
_atom_site_fract_z
P1 P 0.000 0.000 0.500
B1 B 0.500 0.500 0.500
O1 O 0.000 0.500 0.000
O2 O 0.500 0.000 0.000
Ta1 Ta 0.000 0.000 0.000
```

Calculated values
- symmetry = No. 123
- uncorrected formation energy (eV/atom) = -0.61
- energy relative to the lowest polymorph listed for this composition (meV/atom) = 0
- total magnetization (μB per formula unit) = 0.000



# 5
The following is a DFT calculation (PBE-GGA) of a relaxed TaBPO2 crystal.

```
data_TaBPO2
_chemical_formula_sum 'Ta1 B1 P1 O2'
_space_group_name_H-M_alt 'P 1'
_space_group_IT_number 1
_cell_length_a 3.523
_cell_length_b 3.523
_cell_length_c 4.171
_cell_angle_alpha 90.00
_cell_angle_beta 90.00
_cell_angle_gamma 90.00
loop_
_space_group_symop_operation_xyz
'x,y,z'
loop_
_atom_site_label
_atom_site_type_symbol
_atom_site_fract_x
_atom_site_fract_y
_atom_site_fract_z
P1 P 0.000 0.000 0.500
B1 B 0.000 0.000 0.000
O1 O 0.000 0.500 0.000
O2 O 0.500 0.000 0.000
Ta1 Ta 0.500 0.500 0.500
```

Calculated values
- symmetry = No. 123
- uncorrected formation energy (eV/atom) = -0.12
- energy relative to the lowest polymorph listed for this composition (meV/atom) = 490
- total magnetization (μB per formula unit) = 0.001



# 6
The following is a DFT calculation (PBE-GGA) of a relaxed TbBP2O8 crystal.

```
data_TbBP2O8
_chemical_formula_sum 'Tb1 B1 P2 O8'
_space_group_name_H-M_alt 'P 1'
_space_group_IT_number 1
_cell_length_a 4.864
_cell_length_b 4.864
_cell_length_c 6.173
_cell_angle_alpha 90.00
_cell_angle_beta 90.00
_cell_angle_gamma 120.00
loop_
_space_group_symop_operation_xyz
'x,y,z'
loop_
_atom_site_label
_atom_site_type_symbol
_atom_site_fract_x
_atom_site_fract_y
_atom_site_fract_z
Tb1 Tb 0.000 0.000 0.500
B1 B 0.000 0.000 0.000
P1 P 0.333 0.667 0.760
P2 P 0.667 0.333 0.240
O1 O 0.158 0.316 0.830
O2 O 0.158 0.842 0.830
O3 O 0.684 0.842 0.830
O4 O 0.316 0.158 0.170
O5 O 0.667 0.333 0.490
O6 O 0.333 0.667 0.510
O7 O 0.842 0.684 0.170
O8 O 0.842 0.158 0.170
```

Calculated values
- symmetry = No. 164
- uncorrected formation energy (eV/atom) = -2.23
- total magnetization (μB per formula unit) = 0.000